Entry 1:
# TbScAlAu

A relaxed structure of TbScAlAu (PBE-GGA, Alexandria).

Cell and atoms, written as POSCAR:
```
TbScAlAu
1.0
-0.690 4.674 1.632
-4.491 1.428 1.667
-0.697 0.868 4.873
Sc Tb Au Al
1 1 1 1
Cartesian
-1.469 1.742 2.043 Sc
-4.408 5.227 6.129 Tb
0.000 0.000 0.000 Au
-2.939 3.485 4.086 Al
```

- Volume: 22.07 Å³ per atom
- Formation enthalpy at 0 K: -0.55 eV/atom

***

Entry 2:
# Ac2VS6

A relaxed structure of Ac2VS6 (PBE-GGA, Alexandria).

Cell and atoms, written as POSCAR:
```
Ac2VS6
1.0
5.603 0.126 0.073
0.206 6.229 -0.169
0.206 2.957 5.485
Ac V S
2 1 6
Cartesian
4.485 6.168 3.570 Ac
1.530 3.144 1.820 Ac
0.000 0.000 0.000 V
1.488 4.753 4.546 S
1.945 7.760 4.491 S
1.488 6.310 1.856 S
4.528 4.559 0.843 S
4.070 1.553 0.899 S
4.528 3.003 3.533 S
```

- Volume: 21.56 Å³ per atom
- Energy above the most stable polymorph in this dataset: 0.028 eV per atom

***

Entry 3:
# CaMg2Sc

A relaxed structure of CaMg2Sc (PBE-GGA, Alexandria).

Cell and atoms, written as POSCAR:
```
CaMg2Sc
1.0
5.315 0.000 0.000
2.658 4.603 0.000
2.658 1.534 4.340
Ca Mg Sc
1 2 1
Cartesian
5.315 3.069 2.170 Ca
0.000 0.000 0.000 Mg
2.658 1.534 1.085 Mg
7.973 4.603 3.255 Sc
```

- Volume: 26.54 Å³ per atom
- Formation enthalpy at 0 K: 0.10 eV/atom

***

Entry 4:
# AuI

A relaxed structure of AuI (PBE-GGA, Alexandria).

Cell and atoms, written as POSCAR:
```
AuI
1.0
4.551 -0.023 -0.064
0.689 4.503 -0.088
0.318 0.311 7.502
I Au
2 2
Cartesian
1.213 1.593 2.210 I
3.927 3.936 6.478 I
4.940 2.832 4.310 Au
2.132 0.435 4.393 Au
```

- Volume: 38.51 Å³ per atom
- Energy: -9.889 eV/cell

***

Entry 5:
# CaInAs2

A relaxed structure of CaInAs2 (PBE-GGA, Alexandria).

Cell and atoms, written as POSCAR:
```
CaInAs2
1.0
-1.561 0.870 -4.808
-1.711 -3.882 -2.883
-4.983 -0.319 -1.177
As Ca In
2 1 1
Cartesian
0.000 0.000 0.000 As
-2.064 -0.833 -2.217 As
-4.127 -1.666 -4.434 Ca
-6.191 -2.499 -6.651 In
```

- Volume: 23.86 Å³ per atom
- Formation enthalpy at 0 K: -0.14 eV/atom

***

Entry 6:
# AgSbTe2Os

A relaxed structure of AgSbTe2Os (PBE-GGA, Alexandria).

Cell and atoms, written as POSCAR:
```
AgSbTe2Os
1.0
-1.615 -4.244 2.891
2.560 -3.292 -3.403
4.151 0.330 2.804
Sb Te Os Ag
1 2 1 1
Cartesian
2.075 0.165 1.402 Sb
1.280 -1.646 -1.702 Te
-0.807 -2.122 1.445 Te
0.000 0.000 0.000 Os
2.548 -3.603 1.145 Ag
```

- Volume: 29.09 Å³ per atom
- Energy above the most stable polymorph in this dataset: 0.000 eV per atom

***

Entry 7:
# BaCuO3

A relaxed structure of BaCuO3 (PBE-GGA, Alexandria).

Cell and atoms, written as POSCAR:
```
BaCuO3
1.0
4.017 0.000 0.000
0.000 4.017 0.000
0.000 0.000 4.017
O Ba Cu
3 1 1
Cartesian
0.000 2.009 0.000 O
0.000 0.000 2.009 O
2.009 0.000 0.000 O
2.009 2.009 2.009 Ba
0.000 0.000 0.000 Cu
```

- Volume: 12.97 Å³ per atom
- Energy: -27.071 eV/cell

***

Entry 8:
# SrBe3W

A relaxed structure of SrBe3W (PBE-GGA, Alexandria).

Cell and atoms, written as POSCAR:
```
SrBe3W
1.0
4.568 0.000 0.000
0.000 4.568 0.000
0.000 0.000 4.568
Sr W Be
1 1 3
Cartesian
2.284 2.284 2.284 Sr
0.000 0.000 0.000 W
0.000 2.284 0.000 Be
0.000 0.000 2.284 Be
2.284 0.000 0.000 Be
```

- Volume: 19.06 Å³ per atom
- Formation enthalpy at 0 K: 0.80 eV/atom
- Energy above the most stable polymorph in this dataset: 0.000 eV per atom

***

Entry 9:
# AcIn2OsO8

A relaxed structure of AcIn2OsO8 (PBE-GGA, Alexandria).

Cell and atoms, written as POSCAR:
```
AcIn2OsO8
1.0
4.982 0.026 -0.003
0.062 4.980 -0.006
0.004 0.007 6.952
Ac In Os O
1 2 1 8
Cartesian
0.002 0.004 3.476 Ac
2.525 2.508 5.248 In
2.523 2.505 1.696 In
0.000 0.000 0.000 Os
0.995 4.036 1.356 O
3.654 3.632 -0.006 O
4.051 0.973 1.357 O
4.054 0.977 5.588 O
1.395 1.381 6.950 O
0.997 4.040 5.586 O
3.401 3.394 3.470 O
1.647 1.620 3.473 O
```

- Volume: 14.37 Å³ per atom
- Energy: -79.673 eV/cell

***

Entry 10:
# Ba6Mg2H

A relaxed structure of Ba6Mg2H (PBE-GGA, Alexandria).

Cell and atoms, written as POSCAR:
```
Ba6Mg2H
1.0
4.282 0.000 0.000
2.141 7.452 0.914
2.141 2.675 13.975
Ba Mg H
6 2 1
Cartesian
4.282 2.105 1.713 Ba
4.282 8.022 13.175 Ba
4.282 6.959 8.718 Ba
2.141 5.799 3.155 Ba
6.423 4.328 11.733 Ba
4.282 3.168 6.170 Ba
4.282 8.067 5.239 Mg
4.282 2.061 9.649 Mg
0.000 0.000 0.000 H
```

- Volume: 48.39 Å³ per atom
- Energy: -17.767 eV/cell

***

Entry 11:
# TlReSi2

A relaxed structure of TlReSi2 (PBE-GGA, Alexandria).

Cell and atoms, written as POSCAR:
```
TlReSi2
1.0
3.182 0.000 0.000
0.000 3.182 0.000
0.000 0.000 7.338
Re Si Tl
1 2 1
Cartesian
1.591 1.591 6.126 Re
0.000 0.000 7.154 Si
1.591 1.591 1.233 Si
0.000 0.000 3.833 Tl
```

- Volume: 18.57 Å³ per atom
- Energy above the most stable polymorph in this dataset: 0.229 eV per atom

***

Entry 12:
# NiAsSe2N

A relaxed structure of NiAsSe2N (PBE-GGA, Alexandria).

Cell and atoms, written as POSCAR:
```
NiAsSe2N
1.0
5.114 0.000 0.000
0.000 5.114 0.000
0.000 0.000 3.529
Ni As Se N
1 1 2 1
Cartesian
2.557 2.557 1.765 Ni
0.000 0.000 0.000 As
0.000 2.557 0.000 Se
2.557 0.000 0.000 Se
0.000 0.000 1.765 N
```

- Volume: 18.46 Å³ per atom
- Energy above the most stable polymorph in this dataset: 0.511 eV per atom

***

Entry 13:
# InHgBi3

A relaxed structure of InHgBi3 (PBE-GGA, Alexandria).

Cell and atoms, written as POSCAR:
```
InHgBi3
1.0
-4.888 1.670 2.601
-2.622 -4.818 -1.834
1.637 -2.729 4.829
In Bi Hg
1 3 1
Cartesian
-2.937 -2.938 2.798 In
-1.311 -2.409 -0.917 Bi
0.819 -1.365 2.415 Bi
-2.444 0.835 1.301 Bi
0.000 0.000 0.000 Hg
```

- Volume: 38.69 Å³ per atom
- Formation enthalpy at 0 K: 0.57 eV/atom
- Energy above the most stable polymorph in this dataset: 0.000 eV per atom

***

Entry 14:
# ZrSbO

A relaxed structure of ZrSbO (PBE-GGA, Alexandria).

Cell and atoms, written as POSCAR:
```
ZrSbO
1.0
-0.846 -2.084 -2.496
4.392 -3.231 1.208
-4.272 -4.012 4.799
Zr Sb O
2 2 2
Cartesian
-0.504 -6.956 2.588 Zr
-0.223 -2.370 0.924 Zr
-3.376 -5.976 2.744 Sb
2.650 -3.350 0.768 Sb
-1.237 -3.967 0.339 O
0.510 -5.359 3.172 O
```

- Volume: 23.69 Å³ per atom
- Energy: -44.676 eV/cell

***

Entry 15:
# NaCd2As2

A relaxed structure of NaCd2As2 (PBE-GGA, Alexandria).

Cell and atoms, written as POSCAR:
```
NaCd2As2
1.0
4.424 0.000 0.000
0.000 4.424 0.000
2.212 2.212 6.292
Na As Cd
1 2 2
Cartesian
0.000 0.000 0.000 Na
2.212 2.212 1.410 As
4.424 4.424 4.882 As
4.424 2.212 3.146 Cd
2.212 4.424 3.146 Cd
```

- Volume: 24.62 Å³ per atom
- Formation enthalpy at 0 K: -0.17 eV/atom
- Energy above the most stable polymorph in this dataset: 0.000 eV per atom

***

Entry 16:
# K3TeH

A relaxed structure of K3TeH (PBE-GGA, Alexandria).

Cell and atoms, written as POSCAR:
```
K3TeH
1.0
6.370 0.000 0.000
0.000 6.370 0.000
3.185 3.185 8.864
H K Te
2 6 2
Cartesian
0.000 0.000 0.000 H
3.185 6.370 4.432 H
4.693 6.370 1.544 K
3.185 4.861 7.319 K
3.185 7.878 7.319 K
1.676 6.370 1.544 K
3.185 3.185 3.828 K
6.370 6.370 5.035 K
6.370 3.185 6.825 Te
6.370 3.185 2.038 Te
```

- Volume: 35.96 Å³ per atom
- Energy above the most stable polymorph in this dataset: 0.250 eV per atom

***

Entry 17:
# PmDyAs2

A relaxed structure of PmDyAs2 (PBE-GGA, Alexandria).

Cell and atoms, written as POSCAR:
```
PmDyAs2
1.0
4.181 0.012 0.015
2.079 3.627 0.015
2.064 1.200 6.829
Pm Dy As
1 1 2
Cartesian
4.162 2.420 3.429 Pm
0.000 0.000 0.000 Dy
6.243 3.630 5.194 As
2.081 1.210 1.665 As
```

- Volume: 25.81 Å³ per atom
- Formation enthalpy at 0 K: -1.53 eV/atom
- Energy above the most stable polymorph in this dataset: 0.000 eV per atom

***

Entry 18:
# Ca2YPdO

A relaxed structure of Ca2YPdO (PBE-GGA, Alexandria).

Cell and atoms, written as POSCAR:
```
Ca2YPdO
1.0
4.631 0.000 0.000
0.000 4.631 0.000
0.000 0.000 4.953
Y Ca O Pd
1 2 1 1
Cartesian
0.000 0.000 2.477 Y
0.000 2.316 0.000 Ca
2.316 0.000 0.000 Ca
0.000 0.000 0.000 O
2.316 2.316 2.477 Pd
```

- Volume: 21.25 Å³ per atom
- Energy above the most stable polymorph in this dataset: 0.000 eV per atom

***

Entry 19:
# Al4VOs5

A relaxed structure of Al4VOs5 (PBE-GGA, Alexandria).

Cell and atoms, written as POSCAR:
```
Al4VOs5
1.0
3.025 0.000 0.000
0.000 3.025 0.000
0.000 0.000 15.032
Al V Os
4 1 5
Cartesian
0.000 0.000 3.049 Al
0.000 0.000 6.011 Al
0.000 0.000 9.021 Al
0.000 0.000 11.983 Al
0.000 0.000 0.000 V
1.512 1.512 1.468 Os
1.512 1.512 4.498 Os
1.512 1.512 7.516 Os
1.512 1.512 10.534 Os
1.512 1.512 13.564 Os
```

- Volume: 13.75 Å³ per atom
- Formation enthalpy at 0 K: -0.41 eV/atom

***

Entry 20:
# MgOs2Pb

A relaxed structure of MgOs2Pb (PBE-GGA, Alexandria).

Cell and atoms, written as POSCAR:
```
MgOs2Pb
1.0
-2.289 -3.310 -4.845
3.128 -3.182 -4.445
-1.603 1.193 5.973
Mg Os Pb
1 2 1
Cartesian
0.976 -2.645 -1.597 Mg
0.793 -6.133 -8.776 Os
-1.727 -2.757 -1.867 Os
0.453 -3.504 -5.013 Pb
```

- Volume: 19.07 Å³ per atom
- Formation enthalpy at 0 K: 0.61 eV/atom

***

Entry 21:
# SiNi4Sn

A relaxed structure of SiNi4Sn (PBE-GGA, Alexandria).

Cell and atoms, written as POSCAR:
```
SiNi4Sn
1.0
-0.035 0.206 -4.058
-3.654 -6.003 -0.273
-4.233 3.851 2.266
Si Ni Sn
2 8 2
Cartesian
-2.134 2.028 -0.896 Si
-3.944 -1.076 0.996 Si
-3.987 3.156 -0.824 Ni
-2.125 -1.997 -3.136 Ni
-3.934 -5.102 -1.241 Ni
-5.797 0.052 1.071 Ni
-5.787 -2.698 0.930 Ni
-3.945 -2.352 -1.103 Ni
-2.135 0.752 -2.995 Ni
-3.977 0.406 -0.962 Ni
-2.766 -4.348 -3.247 Sn
-0.922 -1.449 -1.084 Sn
```

- Volume: 13.55 Å³ per atom
- Energy: -67.313 eV/cell

***

Entry 22:
# RbAcNbO5

A relaxed structure of RbAcNbO5 (PBE-GGA, Alexandria).

Cell and atoms, written as POSCAR:
```
RbAcNbO5
1.0
6.711 0.036 -0.012
-1.925 6.429 -0.012
-2.004 -2.707 8.016
Rb Ac Nb O
2 2 2 10
Cartesian
0.432 3.637 1.992 Rb
2.350 0.122 6.000 Rb
-1.002 -1.353 4.008 Ac
0.000 0.000 0.000 Ac
3.472 1.386 1.992 Nb
-0.689 2.372 6.000 Nb
-1.907 5.368 1.992 O
4.689 -1.610 6.000 O
5.051 1.664 0.985 O
-2.268 2.095 7.006 O
3.668 -0.205 2.998 O
-0.885 3.963 4.993 O
3.139 2.836 3.130 O
-0.356 0.922 4.862 O
1.988 1.282 0.854 O
0.794 2.477 7.138 O
```

- Volume: 21.62 Å³ per atom
- Energy: -119.190 eV/cell

***

Entry 23:
# NaTl3Hg4

A relaxed structure of NaTl3Hg4 (PBE-GGA, Alexandria).

Cell and atoms, written as POSCAR:
```
NaTl3Hg4
1.0
-0.913 -3.723 -3.319
3.526 0.587 -1.629
2.855 -6.162 9.999
Na Tl Hg
1 3 4
Cartesian
-0.457 -1.861 -1.659 Na
1.763 0.293 -0.814 Tl
1.187 -2.013 1.932 Tl
4.281 -7.284 3.120 Tl
3.198 -6.125 5.990 Hg
2.270 -3.173 -0.939 Hg
3.257 -5.192 1.055 Hg
2.211 -4.106 3.997 Hg
```

- Volume: 28.75 Å³ per atom
- Formation enthalpy at 0 K: -0.05 eV/atom
- Energy above the most stable polymorph in this dataset: 0.034 eV per atom

***

Entry 24:
# CuTeAs2

A relaxed structure of CuTeAs2 (PBE-GGA, Alexandria).

Cell and atoms, written as POSCAR:
```
CuTeAs2
1.0
-3.055 -1.312 1.083
1.579 -2.833 1.023
1.898 1.626 7.324
As Cu Te
2 1 1
Cartesian
1.601 -2.341 1.682 As
-0.546 -1.104 2.767 As
1.964 -1.324 3.936 Cu
0.721 -1.187 6.241 Te
```

- Volume: 22.43 Å³ per atom
- Energy: -15.785 eV/cell

***

Entry 25:
# MgAg2Cl

A relaxed structure of MgAg2Cl (PBE-GGA, Alexandria).

Cell and atoms, written as POSCAR:
```
MgAg2Cl
1.0
-4.425 1.456 -1.905
-4.735 1.025 1.364
-3.083 7.540 0.702
Ag Cl Mg
2 1 1
Cartesian
-9.192 2.581 -0.532 Ag
-2.386 1.580 -0.018 Ag
-5.982 5.229 0.122 Cl
-9.963 8.124 0.126 Mg
```

- Volume: 25.76 Å³ per atom
- Energy above the most stable polymorph in this dataset: 0.016 eV per atom

***

Entry 26:
# FeSeCl

A relaxed structure of FeSeCl (PBE-GGA, Alexandria).

Cell and atoms, written as POSCAR:
```
FeSeCl
1.0
6.579 -0.152 -0.012
0.075 3.204 -0.026
0.339 -0.045 7.307
Se Fe Cl
2 2 2
Cartesian
1.515 1.313 0.946 Se
5.538 2.772 6.343 Se
5.738 1.215 0.791 Fe
1.314 2.869 6.498 Fe
5.087 2.846 2.347 Cl
1.973 1.239 4.943 Cl
```

- Volume: 25.69 Å³ per atom
- Energy: -30.393 eV/cell